[1]
Material: La3RePt
Method: DFT, GGA-PBEsol
State: optimized geometry

```
data_La3RePt
_space_group_name_H-M_alt 'P 1'
_space_group_IT_number 1
_cell_length_a 5.343
_cell_length_b 5.343
_cell_length_c 5.343
_cell_angle_alpha 90.00
_cell_angle_beta 90.00
_cell_angle_gamma 90.00
loop_
_space_group_symop_operation_xyz
'x,y,z'
loop_
_atom_site_label
_atom_site_type_symbol
_atom_site_fract_x
_atom_site_fract_y
_atom_site_fract_z
_atom_site_occupancy
Pt1 Pt 0.500 0.500 0.500 1
La1 La 0.000 0.500 0.000 1
La2 La 0.500 0.000 0.000 1
La3 La 0.000 0.000 0.500 1
Re1 Re 0.000 0.000 0.000 1
```

***

[2]
# Sb2AsPt | Alexandria | GGA-PBEsol | optimized geometry
# ΔE_f (raw): -0.8 eV per formula unit
data_Sb2AsPt
_space_group_name_H-M_alt 'P 1'
_space_group_IT_number 1
_cell_length_a 3.897
_cell_length_b 4.908
_cell_length_c 4.908
_cell_angle_alpha 112.18
_cell_angle_beta 90.00
_cell_angle_gamma 90.00
loop_
_space_group_symop_operation_xyz
'x,y,z'
loop_
_atom_site_label
_atom_site_type_symbol
_atom_site_fract_x
_atom_site_fract_y
_atom_site_fract_z
_atom_site_occupancy
Sb1 Sb 0.000 0.038 0.962 1
Sb2 Sb 0.500 0.740 0.260 1
As1 As 0.000 0.463 0.537 1
Pt1 Pt 0.500 0.261 0.739 1

***

[3]
# ZrSiW2 | Alexandria | GGA-PBEsol | optimized geometry
# ΔE_f (raw): -0.2 eV per formula unit
data_ZrSiW2
_space_group_name_H-M_alt 'P 1'
_space_group_IT_number 1
_cell_length_a 3.210
_cell_length_b 4.582
_cell_length_c 4.898
_cell_angle_alpha 104.45
_cell_angle_beta 109.13
_cell_angle_gamma 90.00
loop_
_space_group_symop_operation_xyz
'x,y,z'
loop_
_atom_site_label
_atom_site_type_symbol
_atom_site_fract_x
_atom_site_fract_y
_atom_site_fract_z
_atom_site_occupancy
Zr1 Zr 0.000 0.500 0.000 1
W1 W 0.761 0.784 0.523 1
W2 W 0.239 0.216 0.477 1
Si1 Si 0.500 0.000 0.000 1

***

[4]
Material: La2ZnRh
Method: DFT, GGA-PBEsol
State: optimized geometry

```
data_La2ZnRh
_space_group_name_H-M_alt 'P 1'
_space_group_IT_number 1
_cell_length_a 3.682
_cell_length_b 3.718
_cell_length_c 6.954
_cell_angle_alpha 96.00
_cell_angle_beta 90.00
_cell_angle_gamma 90.00
loop_
_space_group_symop_operation_xyz
'x,y,z'
loop_
_atom_site_label
_atom_site_type_symbol
_atom_site_fract_x
_atom_site_fract_y
_atom_site_fract_z
_atom_site_occupancy
Rh1 Rh 0.500 0.500 0.500 1
Zn1 Zn 0.500 0.500 0.000 1
La1 La 0.000 0.064 0.266 1
La2 La 0.000 0.936 0.734 1
```

***

Number 1: D(E_F) 4.38 states/eV per cell, E_tot -34.94 eV per cell. Number 2: D(E_F) 2.08 states/eV per cell, E_tot -21.95 eV per cell. Number 3: D(E_F) 2.13 states/eV per cell, E_tot -42.64 eV per cell. Number 4: D(E_F) 3.05 states/eV per cell, E_tot -22.15 eV per cell.